# 1
An optimized crystal structure of NiSeN, computed with PBE-GGA.

a b c (Å): 3.250 6.426 11.126
angles (deg): 81.90 90.00 90.00
Element x y z (fractional)
Se 0.750 0.337 0.651
Se 0.250 0.163 0.349
Se 0.250 0.663 0.349
Se 0.750 0.837 0.651
Ni 0.250 0.609 0.565
Ni 0.250 0.109 0.565
Ni 0.750 0.391 0.435
Ni 0.750 0.891 0.435
N 0.458 0.027 0.952
N 0.042 0.527 0.952
N 0.542 0.973 0.048
N 0.958 0.473 0.048

Properties
total energy	-5.9779	eV per atom
crystal system	monoclinic
space-group type	No. 14

=====

# 2
An optimized crystal structure of LiAl2Mo, computed with PBE-GGA.

a b c (Å): 2.718 2.718 8.655
angles (deg): 90.00 90.00 90.00
Element x y z (fractional)
Al 0.500 0.500 0.242
Al 0.000 0.000 0.994
Mo 0.500 0.500 0.764
Li 0.000 0.000 0.500

Properties
crystal system	tetragonal
space-group type	No. 99
ΔE_f	67	meV/atom
offset from the most stable computed form	258	meV per atom

=====

# 3
An optimized crystal structure of Li2V2Ni15, computed with PBE-GGA.

a b c (Å): 6.159 6.159 6.159
angles (deg): 81.79 81.79 81.79
Each line ends with the local moment (μB).
Element x y z (fractional)
Ni 0.824 0.336 0.336  0.30
Ni 0.664 0.176 0.664  0.30
Ni 0.664 0.664 0.176  0.30
Ni 0.000 0.663 0.337  0.36
Ni 0.337 0.663 0.000  0.36
Ni 0.336 0.824 0.336  0.30
Ni 0.663 0.000 0.337  0.36
Ni 0.000 0.000 0.500  0.38
Ni 0.176 0.664 0.664  0.30
Ni 0.663 0.337 0.000  0.36
Ni 0.000 0.337 0.663  0.36
Ni 0.000 0.500 0.000  0.38
Ni 0.336 0.336 0.824  0.30
Ni 0.500 0.000 0.000  0.38
Ni 0.337 0.000 0.663  0.36
Li 0.903 0.903 0.903  -0.01
Li 0.097 0.097 0.097  -0.01
V 0.621 0.621 0.621  -1.28
V 0.379 0.379 0.379  -1.28

Properties
crystal system	trigonal
space-group type	No. 166
ΔE_f	66	meV/atom

=====

# 4
An optimized crystal structure of Be2V2CuNi5, computed with PBE-GGA.

a b c (Å): 3.154 8.331 8.331
angles (deg): 90.00 90.00 90.00
Each line ends with the local moment (μB).
Element x y z (fractional)
V 0.000 0.677 0.177  1.27
V 0.000 0.823 0.677  1.27
V 0.000 0.323 0.823  1.27
V 0.000 0.177 0.323  1.27
Ni 0.500 0.500 0.000  0.19
Ni 0.500 0.711 0.432  0.14
Ni 0.500 0.000 0.500  0.19
Ni 0.500 0.568 0.711  0.14
Ni 0.500 0.068 0.789  0.14
Ni 0.500 0.932 0.211  0.14
Ni 0.500 0.432 0.289  0.14
Ni 0.500 0.289 0.568  0.14
Ni 0.500 0.789 0.932  0.14
Ni 0.500 0.211 0.068  0.14
Be 0.000 0.620 0.880  -0.01
Be 0.000 0.120 0.620  -0.01
Be 0.000 0.880 0.380  -0.01
Be 0.000 0.380 0.120  -0.01
Cu 0.000 0.000 0.000  0.02
Cu 0.000 0.500 0.500  0.02

Properties
crystal system	tetragonal
space-group type	No. 127
ΔE_f	-117	meV/atom

=====

# 5
An optimized crystal structure of K2LaInO4, computed with PBE-GGA.

a b c (Å): 7.238 7.238 7.417
angles (deg): 120.82 120.83 90.21
Element x y z (fractional)
In 0.000 0.000 0.000
In 0.500 0.500 0.500
K 0.500 0.000 0.000
K 0.500 0.500 0.000
K 0.500 0.000 0.500
K 0.000 0.000 0.500
O 0.240 0.260 0.048
O 0.760 0.740 0.548
O 0.241 0.698 0.470
O 0.240 0.260 0.452
O 0.802 0.259 0.030
O 0.759 0.302 0.530
O 0.760 0.740 0.952
O 0.198 0.741 0.970
La 0.000 0.500 0.500
La 0.000 0.500 0.000

Properties
total energy	-5.7445	eV per atom
crystal system	orthorhombic
space-group type	No. 74

=====

# 6
An optimized crystal structure of Sr6PtAu2N, computed with PBE-GGA.

a b c (Å): 7.309 8.006 10.694
angles (deg): 90.00 88.86 90.00
Element x y z (fractional)
Au 0.040 0.906 0.254
Au 0.460 0.406 0.246
Au 0.540 0.594 0.754
Au 0.960 0.094 0.746
Sr 0.118 0.468 0.767
Sr 0.798 0.826 0.553
Sr 0.666 0.293 0.558
Sr 0.298 0.674 0.053
Sr 0.334 0.707 0.442
Sr 0.382 0.968 0.733
Sr 0.202 0.174 0.447
Sr 0.618 0.032 0.267
Sr 0.834 0.793 0.942
Sr 0.166 0.207 0.058
Sr 0.702 0.326 0.947
Sr 0.882 0.532 0.233
Pt 0.000 0.500 0.500
Pt 0.500 0.000 0.000
N 0.500 0.000 0.500
N 0.000 0.500 0.000

Properties
total energy	-3.7319	eV per atom
crystal system	monoclinic
space-group type	No. 14

=====

# 7
An optimized crystal structure of Cu2SeBr, computed with PBE-GGA.

a b c (Å): 4.690 4.690 4.690
angles (deg): 60.00 60.00 60.00
Element x y z (fractional)
Cu 0.250 0.250 0.250
Cu 0.000 0.000 0.000
Se 0.750 0.750 0.750
Br 0.500 0.500 0.500

Properties
crystal system	cubic
space-group type	No. 216
offset from the most stable computed form	866	meV per atom

=====

# 8
An optimized crystal structure of LuTe2Rh, computed with PBE-GGA.

a b c (Å): 3.929 3.929 9.077
angles (deg): 77.50 77.50 60.00
Element x y z (fractional)
Te 0.113 0.113 0.660
Te 0.887 0.887 0.340
Rh 0.500 0.500 0.500
Lu 0.000 0.000 0.000

Properties
total energy	-4.8183	eV per atom
crystal system	trigonal
space-group type	No. 166

=====

# 9
An optimized crystal structure of MnMoSe2, computed with PBE-GGA.

a b c (Å): 3.826 3.618 6.677
angles (deg): 89.59 90.00 90.00
Each line ends with the local moment (μB).
Element x y z (fractional)
Mo 0.500 0.875 0.630  -0.44
Mn 0.000 0.375 0.621  2.60
Se 0.500 0.378 0.369  -0.05
Se 0.000 0.871 0.880  -0.06

Properties
crystal system	monoclinic
space-group type	No. 6
offset from the most stable computed form	0	meV per atom

=====

# 10
An optimized crystal structure of HgRuPb2, computed with PBE-GGA.

a b c (Å): 9.994 9.994 9.994
angles (deg): 19.73 19.73 19.73
Element x y z (fractional)
Ru 0.250 0.250 0.250
Pb 0.515 0.515 0.515
Pb 0.985 0.985 0.985
Hg 0.750 0.750 0.750

Properties
crystal system	trigonal
space-group type	No. 166
ΔE_f	267	meV/atom

=====

# 11
An optimized crystal structure of BaAgMo2, computed with PBE-GGA.

a b c (Å): 6.089 6.089 6.089
angles (deg): 148.25 124.54 65.33
Element x y z (fractional)
Ag 0.532 0.532 0.000
Ba 0.237 0.737 0.500
Mo 0.784 0.284 0.500
Mo 0.947 0.947 0.000

Properties
crystal system	orthorhombic
space-group type	No. 44
ΔE_f	854	meV/atom
offset from the most stable computed form	329	meV per atom

=====

# 12
An optimized crystal structure of BaMnRe2, computed with PBE-GGA.

a b c (Å): 10.106 10.106 10.106
angles (deg): 16.70 16.70 16.70
Each line ends with the local moment (μB).
Element x y z (fractional)
Re 0.482 0.482 0.482  -0.21
Re 0.018 0.018 0.018  -0.21
Ba 0.250 0.250 0.250  0.08
Mn 0.750 0.750 0.750  2.22

Properties
crystal system	trigonal
space-group type	No. 166
ΔE_f	1060	meV/atom
offset from the most stable computed form	526	meV per atom